[1]
The following is a PBE calculation of V5GaTc6 after structural relaxation, from Alexandria.

Cell lengths 4.2858, 6.0782, 7.4131 Å; angles 114.20, 106.80, 90.00 degrees
Fractional coordinates of all 12 atoms:
Tc  0.8306  0.5773  0.6612
Tc  0.8306  0.0838  0.6612
Tc  0.5000  0.7416  0.0000
Tc  0.5000  0.2584  0.0000
Tc  0.1694  0.9162  0.3388
Tc  0.1694  0.4227  0.3388
Ga  0.0000  0.0000  0.0000
V  0.6620  0.1620  0.3239
V  0.3319  0.3319  0.6638
V  0.0000  0.5000  0.0000
V  0.6681  0.6681  0.3362
V  0.3380  0.8380  0.6761

The calculation puts the density of states at the Fermi level at 0.9157 states/eV per atom. The energy of formation comes out at -3.9 eV per formula unit.

***

[2]
The following is a PBE calculation of K2YZr after structural relaxation, from Alexandria.

Cell lengths 3.3897, 3.3897, 14.1368 Å; angles 90.00, 90.00, 117.84 degrees
Fractional coordinates of all 4 atoms:
K  0.0000  0.0000  0.9919
K  0.0000  0.0000  0.5081
Y  0.5000  0.5000  0.2500
Zr  0.5000  0.5000  0.7500

The calculation puts the density of states at the Fermi level at 1.5479 states/eV per atom. The energy above the most stable polymorph in this dataset is 360 meV/atom. The energy of formation comes out at 3.0 eV per formula unit.

***

[3]
The following is a PBE calculation of TaCd2AgB after structural relaxation, from Alexandria.

Cell lengths 4.9813, 4.9813, 5.1432 Å; angles 90.00, 90.00, 90.00 degrees
Fractional coordinates of all 5 atoms:
B  0.5000  0.5000  0.5000
Cd  0.0000  0.5000  0.0000
Cd  0.5000  0.0000  0.0000
Ag  0.0000  0.0000  0.0000
Ta  0.0000  0.0000  0.5000

The calculation puts the density of states at the Fermi level at 0.5313 states/eV per atom. The energy of formation comes out at 9.7 eV per formula unit.

***

[4]
The following is a PBE calculation of Sc3Ag2Hg after structural relaxation, from Alexandria.

Cell lengths 3.4708, 3.4708, 10.3400 Å; angles 90.00, 90.00, 90.00 degrees
Fractional coordinates of all 6 atoms:
Sc  0.0000  0.0000  0.0000
Sc  0.0000  0.0000  0.6730
Sc  0.0000  0.0000  0.3270
Ag  0.5000  0.5000  0.8363
Ag  0.5000  0.5000  0.1637
Hg  0.5000  0.5000  0.5000

The calculation puts the density of states at the Fermi level at 0.7499 states/eV per atom. The energy of formation comes out at -2.0 eV per formula unit.

***

[5]
The following is a PBE calculation of DyCd6Ag5 after structural relaxation, from Alexandria.

Cell lengths 4.6469, 8.3586, 7.9651 Å; angles 121.65, 106.96, 90.00 degrees
Fractional coordinates of all 12 atoms:
Dy  0.0000  0.0000  0.0000
Ag  0.6542  0.1542  0.3083
Ag  0.3068  0.3068  0.6136
Ag  0.0000  0.5000  0.0000
Ag  0.6932  0.6932  0.3864
Ag  0.3458  0.8458  0.6917
Cd  0.8300  0.5521  0.6600
Cd  0.8300  0.1079  0.6600
Cd  0.5000  0.7206  0.0000
Cd  0.5000  0.2794  0.0000
Cd  0.1700  0.8921  0.3400
Cd  0.1700  0.4479  0.3400

The calculation puts the density of states at the Fermi level at 0.3918 states/eV per atom. The energy of formation comes out at -1.2 eV per formula unit.

***

[6]
The following is a PBE calculation of AcHO2F after structural relaxation, from Alexandria.

Cell lengths 4.0252, 4.6731, 7.7302 Å; angles 90.00, 90.00, 115.51 degrees
Fractional coordinates of all 10 atoms:
Ac  0.7835  0.5669  0.2500
Ac  0.2165  0.4331  0.7500
H  0.5000  0.0000  0.5000
H  0.5000  0.0000  0.0000
O  0.3656  0.7312  0.0461
O  0.6344  0.2688  0.5461
O  0.3656  0.7312  0.4539
O  0.6344  0.2688  0.9539
F  0.9177  0.8354  0.7500
F  0.0823  0.1646  0.2500

The calculation puts the density of states at the Fermi level at 0.4611 states/eV per atom. The calculation puts the total DFT energy (no corrections) at -6.24 eV per atom.

***

[7]
The following is a PBE calculation of AcHoSi2Au2 after structural relaxation, from Alexandria.

Cell lengths 4.3803, 4.3803, 8.2270 Å; angles 90.00, 90.00, 120.00 degrees
Fractional coordinates of all 6 atoms:
Ac  0.0000  0.0000  0.0000
Ho  0.0000  0.0000  0.5000
Si  0.6667  0.3333  0.2672
Si  0.3333  0.6667  0.7328
Au  0.6667  0.3333  0.7161
Au  0.3333  0.6667  0.2839

The calculation puts the density of states at the Fermi level at 0.3597 states/eV per atom. The calculation puts the total DFT energy (no corrections) at -5.15 eV per atom.

***

[8]
The following is a PBE calculation of Ba2LiW after structural relaxation, from Alexandria.

Cell lengths 5.4640, 3.3090, 6.5857 Å; angles 89.65, 90.00, 90.00 degrees
Fractional coordinates of all 4 atoms:
Ba  0.0000  0.1213  0.9249
Ba  0.5000  0.1281  0.3097
Li  0.0000  0.6269  0.5130
W  0.5000  0.6237  0.7524

The calculation puts the density of states at the Fermi level at 0.9801 states/eV per atom. The energy above the most stable polymorph in this dataset is 59 meV/atom. The energy of formation comes out at 4.2 eV per formula unit.

***

[9]
The following is a PBE calculation of Li2US4 after structural relaxation, from Alexandria.

Cell lengths 6.9698, 6.9698, 6.9698 Å; angles 108.81, 110.80, 108.81 degrees
Fractional coordinates of all 14 atoms:
Li  0.3750  0.7481  0.6231
Li  0.3731  0.2481  0.6250
Li  0.8750  0.2519  0.6269
Li  0.3769  0.7519  0.1250
U  0.7500  0.5000  0.2500
U  0.0000  0.0000  0.0000
S  0.6906  0.1868  0.8795
S  0.0594  0.6889  0.7462
S  0.6927  0.8132  0.5038
S  0.0573  0.3111  0.3705
S  0.4962  0.1889  0.3094
S  0.6295  0.6868  0.9406
S  0.2538  0.3132  0.9427
S  0.1205  0.8111  0.3073

The energy above the most stable polymorph in this dataset is 24 meV/atom.

***

[10]
The following is a PBE calculation of Ba2Zn4Ga3Sn after structural relaxation, from Alexandria.

Cell lengths 4.5947, 4.5947, 11.1401 Å; angles 90.00, 90.00, 90.00 degrees
Fractional coordinates of all 10 atoms:
Ba  0.5000  0.0000  0.2419
Ba  0.0000  0.5000  0.7581
Zn  0.5000  0.5000  0.0000
Zn  0.0000  0.0000  0.0000
Zn  0.5000  0.0000  0.6419
Zn  0.0000  0.5000  0.3581
Ga  0.0000  0.0000  0.5000
Ga  0.5000  0.0000  0.8776
Ga  0.0000  0.5000  0.1224
Sn  0.5000  0.5000  0.5000

The calculation puts the density of states at the Fermi level at 0.4365 states/eV per atom. The energy of formation comes out at -3.5 eV per formula unit.

***

[11]
The following is a PBE calculation of Te2AsS after structural relaxation, from Alexandria.

Cell lengths 7.3807, 7.3807, 6.6855 Å; angles 56.50, 56.50, 90.00 degrees
Fractional coordinates of all 8 atoms:
As  0.0000  0.0000  0.0000
As  0.7500  0.2500  0.5000
Te  0.6260  0.1250  0.2500
Te  0.1240  0.6250  0.2500
Te  0.3750  0.3740  0.7500
Te  0.8750  0.8760  0.7500
S  0.5000  0.5000  0.0000
S  0.2500  0.7500  0.5000

The calculation puts the density of states at the Fermi level at 0.7670 states/eV per atom. The energy above the most stable polymorph in this dataset is 25 meV/atom.

***

[12]
The following is a PBE calculation of Ba5Ca3 after structural relaxation, from Alexandria.

Cell lengths 4.7261, 4.7261, 19.7462 Å; angles 90.00, 90.00, 90.00 degrees
Fractional coordinates of all 8 atoms:
Ba  0.0000  0.0000  0.2376
Ba  0.5000  0.5000  0.6191
Ba  0.5000  0.5000  0.3809
Ba  0.0000  0.0000  0.7624
Ba  0.0000  0.0000  0.0000
Ca  0.5000  0.5000  0.1181
Ca  0.5000  0.5000  0.8819
Ca  0.0000  0.0000  0.5000

The calculation puts the density of states at the Fermi level at 1.7508 states/eV per atom. The energy above the most stable polymorph in this dataset is 0 meV/atom. The energy of formation comes out at 0.2 eV per formula unit.